# 1
Material: CoSN2
Method: DFT, GGA-PBE
State: relaxed

Values from the calculation:
crystal system	trigonal
formation energy (no corrections)	-0.037	eV per atom
distance to the lowest polymorph of the same formula	0	meV per atom

```
data_CoSN2
_chemical_formula_sum 'Co3 S3 N6'
_symmetry_space_group_name_H-M 'R 3 m'
_symmetry_Int_Tables_number 160
_symmetry_space_group_name_Hall 'R 3 -2"'
_cell_length_a 3.2070
_cell_length_b 3.2070
_cell_length_c 22.6420
_cell_angle_alpha 90.00
_cell_angle_beta 90.00
_cell_angle_gamma 120.00
loop_
_atom_site_label
_atom_site_type_symbol
_atom_site_fract_x
_atom_site_fract_y
_atom_site_fract_z
_atom_site_occupancy
Co1 Co 0.0000 0.0000 0.0000 1
S1 S 0.0000 0.0000 0.6197 1
N1 N 0.0000 0.0000 0.0839 1
N2 N 0.0000 0.0000 0.1338 1
```

---

# 2
Material: MgZnTe2
Method: DFT, GGA-PBE
State: relaxed

Values from the calculation:
crystal system	trigonal
formation energy (no corrections)	-0.400	eV per atom

```
data_MgZnTe2
_chemical_formula_sum 'Mg3 Zn3 Te6'
_symmetry_space_group_name_H-M 'R -3 m'
_symmetry_Int_Tables_number 166
_symmetry_space_group_name_Hall '-R 3 2"'
_cell_length_a 4.5687
_cell_length_b 4.5687
_cell_length_c 23.4857
_cell_angle_alpha 90.00
_cell_angle_beta 90.00
_cell_angle_gamma 120.00
loop_
_atom_site_label
_atom_site_type_symbol
_atom_site_fract_x
_atom_site_fract_y
_atom_site_fract_z
_atom_site_occupancy
Mg1 Mg 0.0000 0.0000 0.0000 1
Zn1 Zn 0.0000 0.0000 0.5000 1
Te1 Te 0.0000 0.0000 0.3945 1
```

---

# 3
Material: Ti4AlTc
Method: DFT, GGA-PBE
State: relaxed

Values from the calculation:
crystal system	monoclinic
formation energy from the elements	0.17	eV/atom
distance to the lowest polymorph of the same formula	429	meV per atom

```
data_Ti4AlTc
_chemical_formula_sum 'Ti8 Al2 Tc2'
_symmetry_space_group_name_H-M 'C 1 2/m 1'
_symmetry_Int_Tables_number 12
_cell_length_a 7.604
_cell_length_b 4.319
_cell_length_c 7.394
_cell_angle_alpha 90.00
_cell_angle_beta 109.75
_cell_angle_gamma 90.00
loop_
_symmetry_equiv_pos_as_xyz
'x,y,z'
'-x,-y,-z'
'-x,y,-z'
'x,-y,z'
'x+1/2,y+1/2,z'
'-x+1/2,-y+1/2,-z'
'-x+1/2,y+1/2,-z'
'x+1/2,-y+1/2,z'
loop_
_atom_site_label
_atom_site_type_symbol
_atom_site_fract_x
_atom_site_fract_y
_atom_site_fract_z
_atom_site_occupancy
Ti1 Ti 0.121 0.000 0.354 1
Ti2 Ti 0.130 0.500 0.892 1
Al1 Al 0.000 0.500 0.500 1
Tc1 Tc 0.000 0.000 0.000 1
```

---

# 4
Material: Li2La2IrO6
Method: DFT, GGA-PBE
State: relaxed

Values from the calculation:
crystal system	trigonal
formation energy (no corrections)	-2.112	eV per atom

```
data_Li2La2IrO6
_chemical_formula_sum 'Li6 La6 Ir3 O18'
_symmetry_space_group_name_H-M 'R -3 m'
_symmetry_Int_Tables_number 166
_symmetry_space_group_name_Hall '-R 3 2"'
_cell_length_a 5.6518
_cell_length_b 5.6518
_cell_length_c 15.1144
_cell_angle_alpha 90.00
_cell_angle_beta 90.00
_cell_angle_gamma 120.00
loop_
_atom_site_label
_atom_site_type_symbol
_atom_site_fract_x
_atom_site_fract_y
_atom_site_fract_z
_atom_site_occupancy
Li1 Li 0.0000 0.0000 0.0738 1
La1 La 0.0000 0.0000 0.2830 1
Ir1 Ir 0.0000 0.0000 0.5000 1
O1 O 0.0279 0.5139 0.2563 1
```

---

# 5
Material: La2Pm6Ru
Method: DFT, GGA-PBE
State: relaxed

Values from the calculation:
crystal system	orthorhombic
formation energy from the elements	0.13	eV/atom

```
data_La2Pm6Ru
_chemical_formula_sum 'La4 Pm12 Ru2'
_symmetry_space_group_name_H-M 'C m m m'
_symmetry_Int_Tables_number 65
_symmetry_space_group_name_Hall '-C 2 2'
_cell_length_a 9.489
_cell_length_b 17.697
_cell_length_c 3.679
_cell_angle_alpha 90.00
_cell_angle_beta 90.00
_cell_angle_gamma 90.00
loop_
_atom_site_label
_atom_site_type_symbol
_atom_site_fract_x
_atom_site_fract_y
_atom_site_fract_z
_atom_site_occupancy
La1 La 0.000 0.167 0.000 1
Pm1 Pm 0.165 0.333 0.500 1
Pm2 Pm 0.218 0.500 0.000 1
Ru1 Ru 0.000 0.500 0.500 1
```

---

# 6
Material: Y2Zn3In
Method: DFT, GGA-PBE
State: relaxed

Values from the calculation:
crystal system	orthorhombic
formation energy from the elements	-0.34	eV/atom
distance to the lowest polymorph of the same formula	82	meV per atom

```
data_Y2Zn3In
_chemical_formula_sum 'Y4 Zn6 In2'
_symmetry_space_group_name_H-M 'I m m 2'
_symmetry_Int_Tables_number 44
_cell_length_a 3.711
_cell_length_b 4.548
_cell_length_c 15.932
_cell_angle_alpha 90.00
_cell_angle_beta 90.00
_cell_angle_gamma 90.00
loop_
_symmetry_equiv_pos_as_xyz
'x,y,z'
'-x,-y,z'
'-x,y,z'
'x,-y,z'
'x+1/2,y+1/2,z+1/2'
'-x+1/2,-y+1/2,z+1/2'
'-x+1/2,y+1/2,z+1/2'
'x+1/2,-y+1/2,z+1/2'
loop_
_atom_site_label
_atom_site_type_symbol
_atom_site_fract_x
_atom_site_fract_y
_atom_site_fract_z
_atom_site_occupancy
Y1 Y 0.000 0.000 0.000 1
Y2 Y 0.000 0.500 0.276 1
Zn1 Zn 0.000 0.000 0.434 1
Zn2 Zn 0.000 0.500 0.684 1
Zn3 Zn 0.000 0.500 0.837 1
In1 In 0.000 0.000 0.600 1
```

---

# 7
Material: MgPSeBr2
Method: DFT, GGA-PBE
State: relaxed

Values from the calculation:
crystal system	tetragonal
formation energy (no corrections)	0.133	eV per atom
distance to the lowest polymorph of the same formula	159	meV per atom

```
data_MgPSeBr2
_chemical_formula_sum 'Mg1 P1 Se1 Br2'
_symmetry_space_group_name_H-M 'P 4/m m m'
_symmetry_Int_Tables_number 123
_symmetry_space_group_name_Hall '-P 4 2'
_cell_length_a 5.010
_cell_length_b 5.010
_cell_length_c 5.597
_cell_angle_alpha 90.00
_cell_angle_beta 90.00
_cell_angle_gamma 90.00
loop_
_atom_site_label
_atom_site_type_symbol
_atom_site_fract_x
_atom_site_fract_y
_atom_site_fract_z
_atom_site_occupancy
Mg1 Mg 0.000 0.000 0.000 1
P1 P 0.500 0.500 0.500 1
Se1 Se 0.000 0.000 0.500 1
Br1 Br 0.000 0.500 0.000 1
```

---

# 8
Material: FeBr4
Method: DFT, GGA-PBE
State: relaxed

Values from the calculation:
crystal system	tetragonal
formation energy (no corrections)	-0.299	eV per atom

```
data_FeBr4
_chemical_formula_sum 'Fe2 Br8'
_symmetry_space_group_name_H-M 'I -4 2 m'
_symmetry_Int_Tables_number 121
_symmetry_space_group_name_Hall 'I -4 2'
_cell_length_a 5.880
_cell_length_b 5.880
_cell_length_c 10.785
_cell_angle_alpha 90.00
_cell_angle_beta 90.00
_cell_angle_gamma 90.00
loop_
_atom_site_label
_atom_site_type_symbol
_atom_site_fract_x
_atom_site_fract_y
_atom_site_fract_z
_atom_site_occupancy
Fe1 Fe 0.000 0.000 0.000 1
Br1 Br 0.223 0.223 0.876 1
```

---

| no. | total DFT energy (no corrections) (eV for the cell shown) | total moment (μB/cell) |
| --- | --- | --- |
| 1 | -84.10 | 0.0 |
| 2 | -32.25 | 0.0 |
| 3 | -89.38 | 0.0 |
| 4 | -226.59 | 3.1 |
| 5 | -92.86 | 0.0 |
| 6 | -43.02 | 0.0 |
| 7 | -13.17 | 1.0 |
| 8 | -33.30 | 8.0 |